Entry 1:
Density functional theory data (PBE-GGA) for an optimized crystal structure of CuHgSe2.

a = 7.0152 Å, b = 7.5310 Å, c = 4.2586 Å
α = 86.03°, β = 85.78°, γ = 61.02°
Fractional positions:
Se 0.5952 0.0251 0.0105
Se 0.9071 0.2267 0.3344
Cu 0.2031 0.8783 0.4688
Se 0.0797 0.6299 0.6228
Hg 0.7311 0.4800 0.7885
Hg 0.2554 0.3770 0.1678
Se 0.3919 0.8315 0.9482
Cu 0.7839 0.9783 0.4903

Formation energy (no corrections) = -0.115 eV per atom

***

Entry 2:
Density functional theory data (PBE-GGA) for an optimized crystal structure of ScAlMoOs.

a = 4.4783 Å, b = 4.4783 Å, c = 4.4783 Å
α = 60.00°, β = 60.00°, γ = 60.00°
Fractional positions:
Os 0.5000 0.5000 0.5000
Al 0.2500 0.2500 0.2500
Sc 0.0000 0.0000 0.0000
Mo 0.7500 0.7500 0.7500

DFT formation energy = -0.19 eV per atom

***

Entry 3:
Density functional theory data (PBE-GGA) for an optimized crystal structure of K2LiH6N3.

a = 6.9549 Å, b = 6.9549 Å, c = 11.9476 Å
α = 90.00°, β = 90.00°, γ = 90.00°
Fractional positions:
K 0.5000 0.0000 0.8497
N 0.6453 0.2960 0.0000
H 0.3457 0.9311 0.6265
K 0.0000 0.5000 0.6503
H 0.8143 0.1625 0.2928
Li 0.6472 0.6382 0.0000
H 0.3231 0.2656 0.4330
N 0.2861 0.8003 0.6475
H 0.8375 0.8143 0.2072
H 0.1857 0.8375 0.7072
K 0.5000 0.0000 0.1503
H 0.0689 0.3457 0.1265
N 0.2861 0.8003 0.3525
H 0.1857 0.8375 0.2928
H 0.3457 0.9311 0.3735
N 0.7040 0.6453 0.5000
N 0.7139 0.1997 0.6475
N 0.1997 0.2861 0.1475
H 0.6769 0.7344 0.5670
K 0.0000 0.5000 0.3497
H 0.7344 0.3231 0.0670
H 0.6543 0.0689 0.3735
H 0.9311 0.6543 0.1265
Li 0.6382 0.3528 0.5000
N 0.1997 0.2861 0.8525
H 0.8143 0.1625 0.7072
K 0.5000 0.5000 0.2500
H 0.3231 0.2656 0.5670
H 0.7344 0.3231 0.9330
H 0.6769 0.7344 0.4330
N 0.7139 0.1997 0.3525
N 0.2960 0.3547 0.5000
H 0.6543 0.0689 0.6265
N 0.3547 0.7040 0.0000
H 0.8375 0.8143 0.7928
H 0.0689 0.3457 0.8735
H 0.1625 0.1857 0.7928
N 0.8003 0.7139 0.1475
Li 0.3618 0.6472 0.5000
H 0.2656 0.6769 0.9330
H 0.1625 0.1857 0.2072
K 0.0000 0.0000 0.0000
K 0.0000 0.0000 0.5000
N 0.8003 0.7139 0.8525
Li 0.3528 0.3618 0.0000
H 0.2656 0.6769 0.0670
H 0.9311 0.6543 0.8735
K 0.5000 0.5000 0.7500

Total energy = -217.397 eV per cell

***

Entry 4:
Density functional theory data (PBE-GGA) for an optimized crystal structure of BaMn2GeSe8.

a = 6.2194 Å, b = 6.2194 Å, c = 9.1556 Å
α = 90.00°, β = 90.00°, γ = 120.00°
Fractional positions:
Mn 0.3333 0.6667 0.7543
Se 0.3333 0.6667 0.9957
Se 0.3403 0.0153 0.6803
Se 0.6750 0.6597 0.6803
Mn 0.6667 0.3333 0.2457
Se 0.0153 0.6750 0.3197
Se 0.6667 0.3333 0.0043
Se 0.9847 0.3250 0.6803
Ge 0.0000 0.0000 0.5000
Se 0.6597 0.9847 0.3197
Ba 0.0000 0.0000 0.0000
Se 0.3250 0.3403 0.3197

Formation energy (no corrections) = -0.425 eV per atom

***

Entry 5:
Density functional theory data (PBE-GGA) for an optimized crystal structure of PaIn2Br4F2.

a = 5.9694 Å, b = 7.7025 Å, c = 7.7025 Å
α = 63.00°, β = 79.44°, γ = 79.44°
Fractional positions:
In 0.8042 0.2751 0.2751
Pa 0.5000 0.0000 0.0000
Br 0.3039 0.1395 0.6407
Br 0.6961 0.3593 0.8605
F 0.2067 0.1243 0.1243
F 0.7933 0.8757 0.8757
Br 0.3039 0.6407 0.1395
In 0.1958 0.7249 0.7249
Br 0.6961 0.8605 0.3593

Formation energy (no corrections) = -1.725 eV per atom

***

Entry 6:
Density functional theory data (PBE-GGA) for an optimized crystal structure of BaBeGaAu2.

a = 6.1353 Å, b = 6.6650 Å, c = 6.1353 Å
α = 90.00°, β = 90.00°, γ = 90.00°
Fractional positions:
Ba 0.0000 0.0000 0.0000
Au 0.5000 0.0000 0.0000
Au 0.0000 0.0000 0.5000
Ga 0.0000 0.5000 0.0000
Be 0.5000 0.5000 0.5000

DFT formation energy = 1.14 eV per atom

***

Entry 7:
Density functional theory data (PBE-GGA) for an optimized crystal structure of H3AuSe.

a = 3.7795 Å, b = 3.7795 Å, c = 3.7795 Å
α = 90.00°, β = 90.00°, γ = 90.00°
Fractional positions:
Au 0.5000 0.5000 0.5000
H 0.0000 0.5000 0.0000
Se 0.0000 0.0000 0.0000
H 0.5000 0.0000 0.0000
H 0.0000 0.0000 0.5000

Total energy = -12.729 eV per cell

***

Entry 8:
Density functional theory data (PBE-GGA) for an optimized crystal structure of NaErTlAg.

a = 5.1550 Å, b = 5.1550 Å, c = 5.1550 Å
α = 60.00°, β = 60.00°, γ = 60.00°
Fractional positions:
Tl 0.7500 0.7500 0.7500
Er 0.0000 0.0000 0.0000
Ag 0.2500 0.2500 0.2500
Na 0.5000 0.5000 0.5000

DFT formation energy = -0.14 eV per atom

***

Entry 9:
Density functional theory data (PBE-GGA) for an optimized crystal structure of Zr3In.

a = 5.6356 Å, b = 5.6356 Å, c = 5.6356 Å
α = 134.22°, β = 134.23°, γ = 66.74°
Fractional positions:
In 0.5000 0.0000 0.5000
Zr 0.2501 0.2501 0.0000
Zr 0.7499 0.7499 0.0000
Zr 0.0000 0.5000 0.5000

DFT formation energy = -0.22 eV per atom

***

Spin magnetization: 0.0, 0.0, 0.0, 3.4, 1.0, 0.0, 0.0, 0.0, 0.0 (μB/cell)